# Ce2Pr8Y | Alexandria via LeMat-Bulk | PBE | optimized geometry
data_Ce2Pr8Y
_cell_length_a 5.6902
_cell_length_b 8.4491
_cell_length_c 16.1510
_cell_angle_alpha 90.00
_cell_angle_beta 90.00
_cell_angle_gamma 90.00
_symmetry_space_group_name_H-M 'I m m m'
_symmetry_Int_Tables_number 71
_symmetry_space_group_name_Hall '-I 2 2'
loop_
_atom_site_label
_atom_site_type_symbol
_atom_site_fract_x
_atom_site_fract_y
_atom_site_fract_z
_atom_site_occupancy
Ce1 Ce 0.0000 0.0000 0.2013 1
Pr1 Pr 0.0000 0.2027 0.0000 1
Pr2 Pr 0.0000 0.2948 0.3601 1
Pr3 Pr 0.0000 0.5000 0.1570 1
Y1 Y 0.0000 0.0000 0.5000 1
# * formation energy: 0.1553 eV/atom
# * volume: 35.3 A^3/atom
# * total magnetic moment: 0.15 μB/atom
# * calculated density: 6.40 Mg/m³
# * density of states at the Fermi level: 47.8 states/eV per cell


# AcInHgPt | Alexandria via LeMat-Bulk | PBE | optimized geometry
data_AcInHgPt
_cell_length_a 7.4264
_cell_length_b 7.4264
_cell_length_c 7.4264
_cell_angle_alpha 90.00
_cell_angle_beta 90.00
_cell_angle_gamma 90.00
_symmetry_space_group_name_H-M 'F -4 3 m'
_symmetry_Int_Tables_number 216
_symmetry_space_group_name_Hall 'F -4 2 3'
loop_
_atom_site_label
_atom_site_type_symbol
_atom_site_fract_x
_atom_site_fract_y
_atom_site_fract_z
_atom_site_occupancy
Ac1 Ac 0.0000 0.0000 0.0000 1
In1 In 0.0000 0.0000 0.5000 1
Hg1 Hg 0.2500 0.2500 0.2500 1
Pt1 Pt 0.2500 0.2500 0.7500 1
# * formation energy: -0.5591 eV/atom
# * volume: 25.6 A^3/atom
# * total magnetic moment: 0.00 μB/atom
# * calculated density: 11.96 Mg/m³
# * density of states at the Fermi level: 15.0 states/eV per cell


# GaTeCl2 | Alexandria via LeMat-Bulk | PBE | optimized geometry
data_GaTeCl2
_cell_length_a 3.3745
_cell_length_b 3.3745
_cell_length_c 29.8646
_cell_angle_alpha 90.00
_cell_angle_beta 90.00
_cell_angle_gamma 120.00
_symmetry_space_group_name_H-M 'R -3 m'
_symmetry_Int_Tables_number 166
_symmetry_space_group_name_Hall '-R 3 2"'
loop_
_atom_site_label
_atom_site_type_symbol
_atom_site_fract_x
_atom_site_fract_y
_atom_site_fract_z
_atom_site_occupancy
Ga1 Ga 0.0000 0.0000 0.0000 1
Te1 Te 0.0000 0.0000 0.5000 1
Cl1 Cl 0.0000 0.0000 0.0885 1
# * volume: 24.5 A^3/atom
# * total magnetic moment: 0.00 μB/atom
# * offset from the most stable computed form: 593 meV/atom
# * E_form (uncorrected): -0.021 eV per atom
# * calculated density: 4.54 Mg/m³
# * density of states at the Fermi level: 7.1 states/eV per cell


# Pm6Pr2Th3 | Alexandria via LeMat-Bulk | PBE | optimized geometry
data_Pm6Pr2Th3
_cell_length_a 6.0790
_cell_length_b 11.2759
_cell_length_c 11.4846
_cell_angle_alpha 90.00
_cell_angle_beta 97.83
_cell_angle_gamma 90.00
_symmetry_space_group_name_H-M 'C 1 2/m 1'
_symmetry_Int_Tables_number 12
loop_
_symmetry_equiv_pos_as_xyz
'x,y,z'
'-x,-y,-z'
'-x,y,-z'
'x,-y,z'
'x+1/2,y+1/2,z'
'-x+1/2,-y+1/2,-z'
'-x+1/2,y+1/2,-z'
'x+1/2,-y+1/2,z'
loop_
_atom_site_label
_atom_site_type_symbol
_atom_site_fract_x
_atom_site_fract_y
_atom_site_fract_z
_atom_site_occupancy
Pm1 Pm 0.0846 0.1596 0.2384 1
Pm2 Pm 0.0965 0.5000 0.2682 1
Pr1 Pr 0.0000 0.3544 0.0000 1
Th1 Th 0.0000 0.0000 0.5000 1
Th2 Th 0.0000 0.3268 0.5000 1
# * formation energy: 0.1638 eV/atom
# * volume: 35.4 A^3/atom
# * total magnetic moment: 0.00 μB/atom
# * calculated density: 7.87 Mg/m³
# * density of states at the Fermi level: 34.9 states/eV per cell